# Cu2PbSe | Alexandria | PBE | optimized geometry
data_Cu2PbSe
_cell_length_a 3.657
_cell_length_b 5.666
_cell_length_c 7.757
_cell_angle_alpha 90.00
_cell_angle_beta 90.00
_cell_angle_gamma 90.00
_symmetry_space_group_name_H-M 'I m m m'
_symmetry_Int_Tables_number 71
_symmetry_space_group_name_Hall '-I 2 2'
loop_
_atom_site_label
_atom_site_fract_x
_atom_site_fract_y
_atom_site_fract_z
Cu1 0.000 0.000 0.222
Pb1 0.000 0.500 0.000
Se1 0.000 0.500 0.500
# Raw formation energy = 0.215 eV per atom

Below is an optimized crystal structure of Ga8Sn, with properties calculated at the PBE level.

Structure (CIF):
```
data_Ga8Sn
_cell_length_a 8.687
_cell_length_b 8.687
_cell_length_c 4.771
_cell_angle_alpha 90.00
_cell_angle_beta 90.00
_cell_angle_gamma 90.00
_symmetry_space_group_name_H-M 'I 4/m m m'
_symmetry_Int_Tables_number 139
_symmetry_space_group_name_Hall '-I 4 2'
loop_
_atom_site_label
_atom_site_fract_x
_atom_site_fract_y
_atom_site_fract_z
Ga1 0.000 0.341 0.000
Ga2 0.171 0.171 0.500
Sn1 0.000 0.000 0.000
```

Below is an optimized crystal structure of TlH2Cl3, with properties calculated at the PBE level.

Structure (CIF):
```
data_TlH2Cl3
_cell_length_a 10.600
_cell_length_b 7.994
_cell_length_c 7.544
_cell_angle_alpha 90.00
_cell_angle_beta 116.00
_cell_angle_gamma 90.00
_symmetry_space_group_name_H-M 'C 1 2/c 1'
_symmetry_Int_Tables_number 15
_symmetry_space_group_name_Hall '-C 2yc'
loop_
_atom_site_label
_atom_site_fract_x
_atom_site_fract_y
_atom_site_fract_z
Tl1 0.000 0.143 0.250
H1 0.135 0.411 0.799
Cl1 0.000 0.254 0.750
Cl2 0.228 0.459 0.314
```

Number 1: final energy -3.632 eV per atom, DOS at the Fermi energy 3.3 states/eV per cell. Number 2: final energy -3.108 eV per atom, DOS at the Fermi energy 7.2 states/eV per cell. Number 3: final energy -3.117 eV per atom, DOS at the Fermi energy 0.0 states/eV per cell.